[1]
Entry from the Alexandria database: crystalline PtI2 at its relaxed geometry (PBEsol). Values from VASP.

Cell and atoms, written as Quantum ESPRESSO input:
```
&SYSTEM
  ibrav = 0, nat = 12, ntyp = 2
/
ATOMIC_SPECIES
Pt 195.08 Pt.upf
I 126.90 I.upf
ATOMIC_POSITIONS crystal
Pt 0.239 0.127 0.003
Pt 0.239 0.373 0.503
Pt 0.761 0.627 0.497
Pt 0.761 0.873 0.997
I 0.014 0.590 0.272
I 0.014 0.910 0.772
I 0.461 0.163 0.746
I 0.461 0.337 0.246
I 0.539 0.663 0.754
I 0.539 0.837 0.254
I 0.986 0.090 0.228
I 0.986 0.410 0.728
CELL_PARAMETERS angstrom
6.720 0.000 0.000
0.000 8.465 0.000
-1.770 0.000 6.623
```

Values from the calculation:
For the energy relative to the elements, uncorrected, the calculation gives -0.124 eV/atom. The value obtained for the total magnetization is 0.0 μB per cell. The calculation puts the raw total energy at -3.623 eV/atom.

---

[2]
Entry from the Alexandria database: crystalline Sc3Tc at its relaxed geometry (PBEsol). Values from VASP.

Cell and atoms, written as Quantum ESPRESSO input:
```
&SYSTEM
  ibrav = 0, nat = 4, ntyp = 2
/
ATOMIC_SPECIES
Sc 44.96 Sc.upf
Tc 98.00 Tc.upf
ATOMIC_POSITIONS crystal
Sc 0.000 0.000 0.000
Sc 0.333 0.667 0.292
Sc 0.333 0.667 0.708
Tc 0.000 0.000 0.500
CELL_PARAMETERS angstrom
3.204 0.000 0.000
-1.602 2.775 0.000
0.000 0.000 9.217
```

Values from the calculation:
As for the formation energy: 0.248 eV per formula unit. The value obtained for the total magnetization is 0.7 μB per cell. The calculation puts the raw total energy at -7.708 eV/atom.